# 1
A plane-wave DFT calculation with GGA-PBE was carried out for a geometry-optimized Hg4As2Os structure.

Properties
final energy	-2.316	eV/atom
density	9.79	g/cm3

Unit cell a=5.384 b=5.384 c=13.370 alpha=90.00 beta=90.00 gamma=90.00
Space group I4/mmm (No. 139)
Inequivalent atoms, fractional coordinates:
1 Hg 0.000 0.000 0.200 x4
2 Hg 0.000 0.500 0.000 x4
3 As 0.000 0.000 0.401 x4
4 Os 0.000 0.000 0.000 x2

***

# 2
A plane-wave DFT calculation with GGA-PBE was carried out for a geometry-optimized FeCuAu2 structure.

Properties
final energy	-4.377	eV/atom
density	12.57	g/cm3

Unit cell a=3.852 b=3.852 c=18.278 alpha=90.00 beta=90.00 gamma=90.00
Space group I-42d (No. 122)
Inequivalent atoms, fractional coordinates:
1 Fe 0.000 0.000 0.000 x4
2 Cu 0.000 0.000 0.500 x4
3 Au 0.248 0.250 0.625 x8

***

# 3
A plane-wave DFT calculation with GGA-PBE was carried out for a geometry-optimized YEr7Mg2 structure.

Properties
final energy	-3.572	eV/atom
density	5.88	g/cm3

Unit cell a=8.738 b=16.304 c=5.184 alpha=90.00 beta=90.00 gamma=90.00
Space group Cmmm (No. 65)
Inequivalent atoms, fractional coordinates:
1 Y 0.000 0.000 0.000 x2
2 Er 0.000 0.209 0.000 x4
3 Er 0.000 0.500 0.500 x2
4 Er 0.182 0.113 0.500 x8
5 Mg 0.000 0.300 0.500 x4

***

# 4
A plane-wave DFT calculation with GGA-PBE was carried out for a geometry-optimized NdN2Cl3 structure.

Properties
final energy	-4.252	eV/atom
density	2.18	g/cm3
formation energy (no corrections)	241	meV/atom

Unit cell a=5.509 b=8.364 c=9.599 alpha=90.00 beta=106.59 gamma=90.00
Space group P2_1/m (No. 11)
Inequivalent atoms, fractional coordinates:
1 Nd 0.000 0.250 0.000 x2
2 N 0.313 0.250 0.630 x2
3 N 0.317 0.750 0.630 x2
4 Cl 0.098 0.000 0.196 x4
5 Cl 0.500 0.250 0.000 x2